--- w ---
Entry from Alexandria: Nd2AgGe2 after structural relaxation (PBE).

Unit cell a=5.8836 b=5.8836 c=5.8836 alpha=136.92 beta=118.08 gamma=78.40
Last column: nearest neighbours and their distance in Å.
Fractional positions:
Nd1 0.2078 0.2078 0.0000  6 Ge 3.16, 2 Ag 3.43
Nd2 0.7922 0.7922 0.0000  6 Ge 3.16, 2 Ag 3.43
Ag1 0.5000 0.0000 0.5000  4 Ge 2.75
Ge1 0.2181 0.5000 0.7181  1 Ge 2.64, 2 Ag 2.75
Ge2 0.7819 0.5000 0.2819  1 Ge 2.64, 2 Ag 2.75


--- x ---
Entry from Alexandria: Nd2AgGe2 after structural relaxation (PBE).

Unit cell a=6.0228 b=6.0228 c=10.6802 alpha=115.60 beta=115.60 gamma=43.68
Last column: nearest neighbours and their distance in Å.
Fractional positions:
Nd1 0.0052 0.0052 0.3248  6 Ge 3.11-3.24, 4 Ag 3.20-3.35
Nd2 0.1865 0.1865 0.1022  6 Ge 3.10-3.29, 2 Ag 3.40
Nd3 0.8135 0.8135 0.8978  6 Ge 3.10-3.29, 2 Ag 3.40
Nd4 0.9948 0.9948 0.6752  6 Ge 3.11-3.24, 4 Ag 3.20-3.35
Ag1 0.2782 0.2782 0.6432  4 Ge 2.67-2.90
Ag2 0.7218 0.7218 0.3568  4 Ge 2.67-2.90
Ge1 0.3677 0.3677 0.4285  1 Ge 2.62, 3 Ag 2.67-2.90
Ge2 0.4748 0.4748 0.1106  1 Ge 2.67, 1 Ag 2.79
Ge3 0.5252 0.5252 0.8894  1 Ge 2.67, 1 Ag 2.79
Ge4 0.6323 0.6323 0.5715  1 Ge 2.62, 3 Ag 2.67-2.90


Most stable to least stable, the ends of the list are x and w.


--- w ---
Entry from Alexandria: NiAg3Ge after structural relaxation (PBE).

Unit cell a=4.7719 b=4.7719 c=4.7719 alpha=90.00 beta=90.00 gamma=90.00
Last column: nearest neighbours and their distance in Å.
Fractional positions:
Ni1 0.0000 0.0000 0.0000  6 Ag 2.39
Ag1 0.0000 0.0000 0.5000  2 Ni 2.39
Ag2 0.0000 0.5000 0.0000  2 Ni 2.39
Ag3 0.5000 0.0000 0.0000  2 Ni 2.39
Ge1 0.5000 0.5000 0.5000  12 Ag 3.37


--- x ---
Entry from Alexandria: NiAg3Ge after structural relaxation (PBE).

Unit cell a=4.8267 b=4.8267 c=4.8267 alpha=90.00 beta=90.00 gamma=90.00
Last column: nearest neighbours and their distance in Å.
Fractional positions:
Ni1 0.0000 0.0000 0.0000  12 Ag 3.41
Ag1 0.0000 0.5000 0.5000  2 Ge 2.41
Ag2 0.5000 0.0000 0.5000  2 Ge 2.41
Ag3 0.5000 0.5000 0.0000  2 Ge 2.41
Ge1 0.5000 0.5000 0.5000  6 Ag 2.41


Most stable to least stable, the ends of the list are w and x.


--- w ---
Entry from Alexandria: NiAgGe3 after structural relaxation (PBE).

Unit cell a=4.9157 b=4.9157 c=4.9157 alpha=90.00 beta=90.00 gamma=90.00
Last column: nearest neighbours and their distance in Å.
Fractional positions:
Ni1 0.0000 0.0000 0.0000  12 Ge 3.48
Ag1 0.5000 0.5000 0.5000  6 Ge 2.46
Ge1 0.0000 0.5000 0.5000  2 Ag 2.46
Ge2 0.5000 0.0000 0.5000  2 Ag 2.46
Ge3 0.5000 0.5000 0.0000  2 Ag 2.46


--- x ---
Entry from Alexandria: NiAgGe3 after structural relaxation (PBE).

Unit cell a=4.6219 b=4.6219 c=4.6219 alpha=90.00 beta=90.00 gamma=90.00
Last column: nearest neighbours and their distance in Å.
Fractional positions:
Ni1 0.0000 0.0000 0.0000  6 Ge 2.31
Ag1 0.5000 0.5000 0.5000  12 Ge 3.27
Ge1 0.0000 0.0000 0.5000  2 Ni 2.31
Ge2 0.0000 0.5000 0.0000  2 Ni 2.31
Ge3 0.5000 0.0000 0.0000  2 Ni 2.31


Most stable to least stable, the ends of the list are x and w.


--- w ---
Entry from Alexandria: Ni3AgGe after structural relaxation (PBE).

Unit cell a=4.3397 b=4.3397 c=4.3397 alpha=90.00 beta=90.00 gamma=90.00
Last column: nearest neighbours and their distance in Å.
Fractional positions:
Ni1 0.0000 0.0000 0.5000  2 Ge 2.17
Ni2 0.0000 0.5000 0.0000  2 Ge 2.17
Ni3 0.5000 0.0000 0.0000  2 Ge 2.17
Ag1 0.5000 0.5000 0.5000  12 Ni 3.07
Ge1 0.0000 0.0000 0.0000  6 Ni 2.17


--- x ---
Entry from Alexandria: Ni3AgGe after structural relaxation (PBE).

Unit cell a=4.6078 b=4.6078 c=4.6078 alpha=90.00 beta=90.00 gamma=90.00
Last column: nearest neighbours and their distance in Å.
Fractional positions:
Ni1 0.0000 0.0000 0.5000  2 Ag 2.30
Ni2 0.0000 0.5000 0.0000  2 Ag 2.30
Ni3 0.5000 0.0000 0.0000  2 Ag 2.30
Ag1 0.0000 0.0000 0.0000  6 Ni 2.30
Ge1 0.5000 0.5000 0.5000  12 Ni 3.26


Most stable to least stable, the ends of the list are w and x.


--- w ---
Entry from Alexandria: AgGe2O4 after structural relaxation (PBE).

Unit cell a=5.8921 b=5.8921 c=6.8376 alpha=115.49 beta=115.49 gamma=60.00
Last column: nearest neighbours and their distance in Å.
Fractional positions:
Ag1 0.0000 0.0000 0.0000  4 O 2.31-2.39
Ag2 0.7166 0.7166 0.1482  4 O 2.33-2.41
Ge1 0.3580 0.3580 0.5865  6 O 1.85-2.03
Ge2 0.3578 0.8712 0.5865  6 O 1.85-2.03
Ge3 0.3902 0.3902 0.1695  3 O 1.98
Ge4 0.8712 0.3578 0.5865  6 O 1.85-2.03
O1 0.0879 0.0879 0.7346  2 Ge 1.85
O2 0.0877 0.5594 0.7346  2 Ge 1.85
O3 0.1302 0.1302 0.3898  3 Ge 2.03
O4 0.1750 0.6086 0.3915  3 Ge 1.98-2.00
O5 0.5594 0.0877 0.7346  2 Ge 1.85
O6 0.5854 0.5854 0.7559  3 Ge 2.01
O7 0.6086 0.1750 0.3915  3 Ge 1.98-2.00
O8 0.6087 0.6087 0.3914  3 Ge 1.98-2.00


--- x ---
Entry from Alexandria: AgGe2O4 after structural relaxation (PBE).

Unit cell a=5.6843 b=5.6843 c=5.6843 alpha=103.07 beta=103.07 gamma=123.21
Last column: nearest neighbours and their distance in Å.
Fractional positions:
Ag1 0.0000 0.0000 0.0000  4 O 2.42
Ge1 0.2500 0.7500 0.5000  4 O 1.87
Ge2 0.7500 0.2500 0.5000  4 O 1.87
O1 0.0754 0.6655 0.7410  2 Ge 1.87
O2 0.3345 0.0754 0.4099  2 Ge 1.87
O3 0.6655 0.9246 0.5901  2 Ge 1.87
O4 0.9246 0.3345 0.2590  2 Ge 1.87


Most stable to least stable, the ends of the list are w and x.


--- w ---
Entry from Alexandria: Ag2GeO3 after structural relaxation (PBE).

Unit cell a=6.0598 b=6.0598 c=5.2760 alpha=90.00 beta=90.00 gamma=68.71
Last column: nearest neighbours and their distance in Å.
Fractional positions:
Ag1 0.0605 0.2389 0.0000  3 O 2.31-2.39
Ag2 0.2389 0.0605 0.5000  3 O 2.31-2.39
Ag3 0.7611 0.9395 0.0000  3 O 2.31-2.39
Ag4 0.9395 0.7611 0.5000  3 O 2.31-2.39
Ge1 0.3616 0.6384 0.0220  4 O 1.76-1.82
Ge2 0.6384 0.3616 0.5220  4 O 1.76-1.82
O1 0.0901 0.6119 0.0985  1 Ge 1.76
O2 0.3881 0.9099 0.0985  1 Ge 1.76
O3 0.4028 0.5972 0.6808  2 Ge 1.82
O4 0.5972 0.4028 0.1808  2 Ge 1.82
O5 0.6119 0.0901 0.5985  1 Ge 1.76
O6 0.9099 0.3881 0.5985  1 Ge 1.76


--- x ---
Entry from Alexandria: Ag2GeO3 after structural relaxation (PBE).

Unit cell a=7.2406 b=7.2406 c=7.2406 alpha=156.39 beta=150.19 gamma=38.37
Last column: nearest neighbours and their distance in Å.
Fractional positions:
Ag1 0.1866 0.1866 0.0000  2 O 2.25
Ag2 0.8134 0.8134 0.0000  2 O 2.25
Ge1 0.5000 0.5000 0.0000  6 O 1.86-1.96
O1 0.0000 0.5000 0.5000  2 Ge 1.86
O2 0.4057 0.9057 0.5000  2 Ge 1.96
O3 0.5943 0.0943 0.5000  2 Ge 1.96


--- y ---
Entry from Alexandria: Ag2GeO3 after structural relaxation (PBE).

Unit cell a=4.7262 b=7.1157 c=10.7043 alpha=90.00 beta=90.00 gamma=90.00
Last column: nearest neighbours and their distance in Å.
Fractional positions:
Ag1 0.0178 0.1021 0.2718  3 O 2.34-2.54
Ag2 0.0924 0.1297 0.6234  2 O 2.17-2.22
Ag3 0.4076 0.8703 0.1234  2 O 2.17-2.22
Ag4 0.4822 0.8979 0.7718  3 O 2.34-2.54
Ag5 0.5178 0.3979 0.7282  3 O 2.34-2.54
Ag6 0.5924 0.3703 0.3766  2 O 2.17-2.22
Ag7 0.9076 0.6297 0.8766  2 O 2.17-2.22
Ag8 0.9822 0.6021 0.2282  3 O 2.34-2.54
Ge1 0.0179 0.6330 0.5652  4 O 1.75-1.82
Ge2 0.4821 0.3670 0.0652  4 O 1.75-1.82
Ge3 0.5179 0.8670 0.4348  4 O 1.75-1.82
Ge4 0.9821 0.1330 0.9348  4 O 1.75-1.82
O1 0.1507 0.9169 0.9581  1 Ge 1.75
O2 0.1918 0.6445 0.7119  1 Ge 1.77
O3 0.2277 0.3290 0.9411  2 Ge 1.81-1.82
O4 0.2723 0.6710 0.4411  2 Ge 1.81-1.82
O5 0.3082 0.3555 0.2119  1 Ge 1.77
O6 0.3493 0.0831 0.4581  1 Ge 1.75
O7 0.6507 0.5831 0.0419  1 Ge 1.75
O8 0.6918 0.8555 0.2881  1 Ge 1.77
O9 0.7277 0.1710 0.0589  2 Ge 1.81-1.82
O10 0.7723 0.8290 0.5589  2 Ge 1.81-1.82
O11 0.8082 0.1445 0.7881  1 Ge 1.77
O12 0.8493 0.4169 0.5419  1 Ge 1.75


Most stable to least stable, the ends of the list are y and x.


--- w ---
Entry from Alexandria: Ag4GeO4 after structural relaxation (PBE).

Unit cell a=5.7731 b=5.7731 c=5.7731 alpha=98.97 beta=98.97 gamma=133.47
Last column: nearest neighbours and their distance in Å.
Fractional positions:
Ag1 0.0936 0.7307 0.8243  3 O 2.31-2.41
Ag2 0.2693 0.0936 0.3629  3 O 2.31-2.41
Ag3 0.7307 0.9064 0.6371  3 O 2.31-2.41
Ag4 0.9064 0.2693 0.1757  3 O 2.31-2.41
Ge1 0.5000 0.5000 0.0000  4 O 1.87
O1 0.2549 0.4534 0.7082  1 Ge 1.87
O2 0.4534 0.7451 0.1985  1 Ge 1.87
O3 0.5466 0.2549 0.8015  1 Ge 1.87
O4 0.7451 0.5466 0.2918  1 Ge 1.87


--- x ---
Entry from Alexandria: Ag4GeO4 after structural relaxation (PBE).

Unit cell a=6.5659 b=8.8364 c=10.1593 alpha=71.78 beta=88.62 gamma=89.16
Last column: nearest neighbours and their distance in Å.
Fractional positions:
Ag1 0.0122 0.0170 0.2431  3 O 2.29-2.47
Ag2 0.0193 0.3686 0.1672  2 O 2.18-2.19
Ag3 0.1405 0.3698 0.5827  2 O 2.22-2.38
Ag4 0.2257 0.8268 0.0099  3 O 2.28-2.39
Ag5 0.2556 0.1624 0.4030  3 O 2.29-2.55
Ag6 0.4189 0.5780 0.3544  2 O 2.17-2.18
Ag7 0.4821 0.6485 0.8636  2 O 2.18
Ag8 0.4839 0.9918 0.7554  4 O 2.35-2.47
Ag9 0.5161 0.0082 0.2446  4 O 2.35-2.47
Ag10 0.5179 0.3515 0.1364  2 O 2.18
Ag11 0.5811 0.4220 0.6456  2 O 2.17-2.18
Ag12 0.7444 0.8376 0.5970  3 O 2.29-2.55
Ag13 0.7743 0.1732 0.9901  3 O 2.28-2.39
Ag14 0.8595 0.6302 0.4173  2 O 2.22-2.38
Ag15 0.9807 0.6314 0.8328  2 O 2.18-2.19
Ag16 0.9878 0.9830 0.7569  3 O 2.29-2.47
Ge1 0.2534 0.7629 0.5573  4 O 1.77-1.81
Ge2 0.2547 0.2307 0.9336  4 O 1.78-1.80
Ge3 0.7453 0.7693 0.0664  4 O 1.78-1.80
Ge4 0.7466 0.2371 0.4427  4 O 1.77-1.81
O1 0.0349 0.6366 0.6175  1 Ge 1.80
O2 0.0415 0.3483 0.9592  1 Ge 1.79
O3 0.2324 0.1844 0.7767  1 Ge 1.78
O4 0.2317 0.9452 0.5983  1 Ge 1.79
O5 0.2638 0.0485 0.0764  1 Ge 1.80
O6 0.2839 0.7940 0.3772  1 Ge 1.77
O7 0.4725 0.6559 0.6478  1 Ge 1.81
O8 0.4825 0.3433 0.9255  1 Ge 1.79
O9 0.5175 0.6567 0.0745  1 Ge 1.79
O10 0.5275 0.3441 0.3522  1 Ge 1.81
O11 0.7161 0.2060 0.6228  1 Ge 1.77
O12 0.7362 0.9515 0.9236  1 Ge 1.80
O13 0.7683 0.0548 0.4017  1 Ge 1.79
O14 0.7676 0.8156 0.2233  1 Ge 1.78
O15 0.9585 0.6517 0.0408  1 Ge 1.79
O16 0.9651 0.3634 0.3825  1 Ge 1.80


Most stable to least stable, the ends of the list are x and w.


--- w ---
Entry from Alexandria: Ag5GeO4 after structural relaxation (PBE).

Unit cell a=7.4074 b=7.4074 c=6.4781 alpha=103.69 beta=103.69 gamma=23.37
Last column: nearest neighbours and their distance in Å.
Fractional positions:
Ag1 0.0000 0.0000 0.0000  4 O 2.46
Ag2 0.3163 0.3163 0.1615  3 O 2.41-2.45
Ag3 0.3334 0.3334 0.7228  3 O 2.37-2.64
Ag4 0.6666 0.6666 0.2772  3 O 2.37-2.64
Ag5 0.6837 0.6837 0.8385  3 O 2.41-2.45
Ge1 0.0000 0.0000 0.5000  6 O 1.89-1.99
O1 0.1330 0.1330 0.5334  1 Ge 1.89
O2 0.4865 0.4865 0.2922  2 Ge 1.99
O3 0.5135 0.5135 0.7078  2 Ge 1.99
O4 0.8670 0.8670 0.4666  1 Ge 1.89


--- x ---
Entry from Alexandria: Ag5GeO4 after structural relaxation (PBE).

Unit cell a=6.5481 b=10.0614 c=11.2559 alpha=90.00 beta=124.49 gamma=90.00
Last column: nearest neighbours and their distance in Å.
Fractional positions:
Ag1 0.0747 0.0843 0.4093  3 O 2.29-2.44
Ag2 0.0747 0.4157 0.9093  3 O 2.29-2.44
Ag3 0.1986 0.6227 0.4242  3 O 2.35-2.61
Ag4 0.1986 0.8773 0.9242  3 O 2.35-2.61
Ag5 0.3231 0.0930 0.8014  2 O 2.35-2.43
Ag6 0.3231 0.4070 0.3014  2 O 2.35-2.43
Ag7 0.3475 0.1248 0.0575  3 O 2.34-2.50
Ag8 0.3475 0.3752 0.5575  3 O 2.34-2.50
Ag9 0.3973 0.6447 0.1208  3 O 2.25-2.42
Ag10 0.3973 0.8553 0.6208  3 O 2.25-2.42
Ag11 0.6027 0.1447 0.3792  3 O 2.25-2.42
Ag12 0.6027 0.3553 0.8792  3 O 2.25-2.42
Ag13 0.6525 0.6248 0.4425  3 O 2.34-2.50
Ag14 0.6525 0.8752 0.9425  3 O 2.34-2.50
Ag15 0.6769 0.5930 0.6986  2 O 2.35-2.43
Ag16 0.6769 0.9070 0.1986  2 O 2.35-2.43
Ag17 0.8014 0.1227 0.0758  3 O 2.35-2.61
Ag18 0.8014 0.3773 0.5758  3 O 2.35-2.61
Ag19 0.9253 0.5843 0.0907  3 O 2.29-2.44
Ag20 0.9253 0.9157 0.5907  3 O 2.29-2.44
Ge1 0.2491 0.6138 0.7592  4 O 1.78-1.80
Ge2 0.2491 0.8862 0.2592  4 O 1.78-1.80
Ge3 0.7509 0.1138 0.7408  4 O 1.78-1.80
Ge4 0.7509 0.3862 0.2408  4 O 1.78-1.80
O1 0.0809 0.7103 0.5965  1 Ge 1.80
O2 0.0809 0.7897 0.0965  1 Ge 1.80
O3 0.1178 0.6400 0.8610  1 Ge 1.80
O4 0.1178 0.8600 0.3610  1 Ge 1.80
O5 0.2217 0.0609 0.2219  1 Ge 1.79
O6 0.2217 0.4391 0.7219  1 Ge 1.79
O7 0.4305 0.1567 0.6427  1 Ge 1.78
O8 0.4305 0.3433 0.1427  1 Ge 1.78
O9 0.5695 0.6567 0.8573  1 Ge 1.78
O10 0.5695 0.8433 0.3573  1 Ge 1.78
O11 0.7783 0.5609 0.2781  1 Ge 1.79
O12 0.7783 0.9391 0.7781  1 Ge 1.79
O13 0.8822 0.1400 0.6390  1 Ge 1.80
O14 0.8822 0.3600 0.1390  1 Ge 1.80
O15 0.9191 0.2103 0.9035  1 Ge 1.80
O16 0.9191 0.2897 0.4035  1 Ge 1.80


Most stable to least stable, the ends of the list are x and w.


--- w ---
Entry from Alexandria: AgGe2Os after structural relaxation (PBE).

Unit cell a=6.8994 b=6.8994 c=6.8994 alpha=129.65 beta=129.65 gamma=73.97
Last column: nearest neighbours and their distance in Å.
Fractional positions:
Ag1 0.0000 0.0000 0.0000  4 Ge 2.63
Ag2 0.7500 0.2500 0.5000  4 Ge 2.63
Ge1 0.1624 0.6250 0.0374  2 Os 2.37, 2 Ag 2.63
Ge2 0.3750 0.4124 0.5374  2 Os 2.37, 2 Ag 2.63
Ge3 0.5876 0.1250 0.9626  2 Os 2.37, 2 Ag 2.63
Ge4 0.8750 0.8376 0.4626  2 Os 2.37, 2 Ag 2.63
Os1 0.2500 0.7500 0.5000  4 Ge 2.37
Os2 0.5000 0.5000 0.0000  4 Ge 2.37


--- x ---
Entry from Alexandria: AgGe2Os after structural relaxation (PBE).

Unit cell a=9.0348 b=9.0348 c=9.0348 alpha=19.44 beta=19.44 gamma=19.44
Last column: nearest neighbours and their distance in Å.
Fractional positions:
Ag1 0.0000 0.0000 0.0000  2 Ge 2.58
Ge1 0.0969 0.0969 0.0969  3 Os 2.56, 1 Ag 2.58
Ge2 0.9031 0.9031 0.9031  3 Os 2.56, 1 Ag 2.58
Os1 0.5000 0.5000 0.5000  6 Ge 2.56


Most stable to least stable, the ends of the list are x and w.


--- w ---
Entry from Alexandria: Ag2SnGeOs after structural relaxation (PBE).

Unit cell a=5.0773 b=5.0773 c=5.0223 alpha=90.00 beta=90.00 gamma=90.00
Last column: nearest neighbours and their distance in Å.
Fractional positions:
Ag1 0.0000 0.5000 0.0000  2 Sn 2.54
Ag2 0.5000 0.0000 0.0000  2 Sn 2.54
Sn1 0.0000 0.0000 0.0000  2 Os 2.51, 4 Ag 2.54
Ge1 0.5000 0.5000 0.5000  8 Ag 3.57, 4 Os 3.59
Os1 0.0000 0.0000 0.5000  2 Sn 2.51


--- x ---
Entry from Alexandria: Ag2SnGeOs after structural relaxation (PBE).

Unit cell a=5.1275 b=5.1275 c=4.9948 alpha=90.00 beta=90.00 gamma=90.00
Last column: nearest neighbours and their distance in Å.
Fractional positions:
Ag1 0.0000 0.5000 0.0000  2 Os 2.56
Ag2 0.5000 0.0000 0.0000  2 Os 2.56
Sn1 0.0000 0.0000 0.5000  2 Os 2.50
Ge1 0.5000 0.5000 0.5000  8 Ag 3.58, 4 Sn 3.63
Os1 0.0000 0.0000 0.0000  2 Sn 2.50, 4 Ag 2.56


Most stable to least stable, the ends of the list are x and w.